This record from Alexandria via LeMat-Bulk describes crystalline K2SrTe at its relaxed geometry. The functional is PBE.

Results
Raw total energy ... -18.50 eV for the cell shown
Energy relative to the elements, uncorrected ... -215 kJ/mol of formula units

Cell: 12.0433 12.0433 9.1078 Å, 48.61 48.61 90.00°
Atoms (fractional coordinates):
Sr: 0.5000 0.5000 0.0000
Sr: 0.2500 0.7500 0.5000
K: 0.7425 0.1250 0.2500
K: 0.8750 0.9925 0.7500
K: 0.3750 0.2575 0.7500
K: 0.0075 0.6250 0.2500
Te: 0.7500 0.2500 0.5000
Te: 0.0000 0.0000 0.0000